CdSbAs2Br | PBE | relaxed

Cell: 5.376 5.376 5.552 Å, 90.00 90.00 90.00°
Site moments in Bohr magnetons follow the coordinates.
Fractional coordinates of all 5 atoms:
Sb  0.000  0.000  0.000  -0.01
As  0.000  0.500  0.000  0.20
As  0.500  0.000  0.000  0.20
Br  0.000  0.000  0.500  0.04
Cd  0.500  0.500  0.500  0.00

Calculated values
The total energy comes out at -2.63 eV/atom. The calculated volume comes out at 32.089 Å³/atom. The formation energy from raw total energies is 570 meV/atom. For the energy above the most stable polymorph in this dataset, the calculation gives 0 meV per atom.